Entry 1:
# PBE+U MnHgO2, optimized geometry
data_MnHgO2
_symmetry_space_group_name_H-M 'C m c m'
_symmetry_Int_Tables_number 63
_symmetry_space_group_name_Hall '-C 2c 2'
_cell_length_a 3.008
_cell_length_b 21.984
_cell_length_c 3.321
_cell_angle_alpha 90.00
_cell_angle_beta 90.00
_cell_angle_gamma 90.00
loop_
_atom_site_label
_atom_site_fract_x
_atom_site_fract_y
_atom_site_fract_z
Mn1 0.000 0.194 0.250
Hg1 0.000 0.447 0.250
O1 0.000 0.286 0.250
O2 0.000 0.378 0.750
# * magnetization: 4.17 μB per formula unit
# * E_tot: -0.1914 Ha/atom
# * Fermi-level density of states: 6.40 states/eV per cell

***

Entry 2:
# PBE+U MnHgO2, optimized geometry
data_MnHgO2
_symmetry_space_group_name_H-M 'P 1'
_symmetry_Int_Tables_number 1
_symmetry_space_group_name_Hall 'P 1'
_cell_length_a 3.225
_cell_length_b 3.241
_cell_length_c 7.613
_cell_angle_alpha 94.05
_cell_angle_beta 99.86
_cell_angle_gamma 90.01
loop_
_atom_site_label
_atom_site_fract_x
_atom_site_fract_y
_atom_site_fract_z
Mn1 0.000 0.000 0.000
Hg1 0.314 0.541 0.511
O1 0.046 0.519 0.114
O2 0.453 0.981 0.884
# * magnetization: 3.23 μB per formula unit
# * E_tot: -0.1901 Ha/atom
# * Fermi-level density of states: 1.09 states/eV per cell